# 1
VASP calculation (PBE) on NaBiPtAu after structural relaxation.

Density of states at the Fermi level ... 1.43 states/eV/f.u.
Total energy ... -3.788 eV/atom
Volume ... 20.2 Å³ per atom
Calculated formation energy ... -0.63 eV/f.u.

```
NaBiPtAu
1.0
-4.1881 1.8742 -1.5715
-1.0340 -0.0083 -4.7385
-3.4697 -2.9200 -1.7199
Na Au Bi Pt
1 1 1 1
Direct
0.7500 0.7500 0.7500
0.5000 0.5000 0.5000
0.0000 0.0000 0.0000
0.2500 0.2500 0.2500
```


# 2
VASP calculation (PBE) on NaPuBiAu after structural relaxation.

Density of states at the Fermi level ... 14.96 states/eV/f.u.
Total energy ... -6.042 eV/atom
Volume ... 25.9 Å³ per atom
Calculated formation energy ... -1.36 eV/f.u.

```
NaPuBiAu
1.0
-4.0155 -1.6276 -3.0043
-2.6860 -4.3420 1.3158
-4.9494 0.3979 1.7732
Bi Pu Na Au
1 1 1 1
Direct
0.5000 0.5000 0.5000
0.2500 0.2500 0.2500
0.7500 0.7500 0.7500
0.0000 0.0000 0.0000
```